{
  "formula": "NiBiI2",
  "functional": "meta-GGA SCAN",
  "state": "single point on PBEsol structure",
  "lattice_angstrom": [[-5.0694, 5.0694, 2.5435], [5.0694, -5.0694, 2.5435], [5.0694, 5.0694, -2.5435]],
  "species": ["Ni", "Ni", "Bi", "Bi", "I", "I", "I", "I"],
  "fractional_positions": [[0.0000, 0.0000, 0.0000], [0.7500, 0.2500, 0.5000], [0.2500, 0.7500, 0.5000], [0.5000, 0.5000, 0.0000], [0.3750, 0.0633, 0.1883], [0.8133, 0.6250, 0.6883], [0.8750, 0.1867, 0.8117], [0.9367, 0.1250, 0.3117]],
  "raw_formation_energy_kj_per_mol_atoms": 19.0,
  "magmom_total_mub_per_fu": 0.00,
  "space_group": "I-42d, No. 122",
  "density_g_cm3": 6.62
}